Entry 1:
VASP calculation (PBE) on HoTm3Hg6 after structural relaxation.

Summary:
E: -2.393 eV per atom
Space group: No. 11
ΔH_f (0 K): -0.413 eV per atom

Cell: 5.118 9.065 11.002 Å, 106.70 90.00 90.00°
Atoms (fractional coordinates):
Ho 0.250 0.938 0.610
Ho 0.750 0.062 0.390
Tm 0.250 0.520 0.389
Tm 0.750 0.480 0.611
Tm 0.250 0.353 0.800
Tm 0.750 0.647 0.200
Tm 0.250 0.768 0.993
Tm 0.750 0.232 0.007
Hg 0.250 0.463 0.092
Hg 0.750 0.537 0.908
Hg 0.250 0.140 0.201
Hg 0.750 0.860 0.799
Hg 0.250 0.647 0.701
Hg 0.750 0.353 0.299
Hg 0.250 0.247 0.512
Hg 0.750 0.753 0.488
Hg 0.250 0.836 0.310
Hg 0.750 0.164 0.690
Hg 0.250 0.064 0.900
Hg 0.750 0.936 0.100



Entry 2:
VASP calculation (PBE) on Li2YPt after structural relaxation.

Summary:
E: -4.585 eV per atom
Space group: No. 99
ΔH_f (0 K): -0.502 eV per atom
Offset from the most stable computed form: 0.0502 eV per atom

Cell: 3.489 3.484 6.710 Å, 90.00 90.00 90.00°
Atoms (fractional coordinates):
Li 0.000 0.000 0.067
Li 0.500 0.500 0.263
Pt 0.000 0.000 0.473
Y 0.500 0.500 0.697



Entry 3:
VASP calculation (PBE) on CaZnIn2Au4 after structural relaxation.

Summary:
E: -3.106 eV per atom
Space group: No. 166
ΔH_f (0 K): -0.374 eV per atom

Cell: 4.718 4.718 9.040 Å, 74.88 74.88 60.00°
Atoms (fractional coordinates):
Ca 0.000 0.000 0.000
Zn 0.500 0.500 0.500
In 0.750 0.750 0.751
In 0.250 0.250 0.249
Au 0.393 0.393 0.821
Au 0.863 0.863 0.411
Au 0.137 0.137 0.589
Au 0.607 0.607 0.179



Entry 4:
VASP calculation (PBE) on Tb3Nd7Sm after structural relaxation.

Summary:
E: -4.506 eV per atom
Space group: No. 71
ΔH_f (0 K): 0.220 eV per atom
Offset from the most stable computed form: 0.0438 eV per atom

Cell: 5.953 8.602 8.602 Å, 83.22 110.20 110.20°
Atoms (fractional coordinates):
Tb 0.000 0.796 0.204
Tb 0.500 0.000 0.000
Tb 0.000 0.204 0.796
Nd 0.209 0.209 0.209
Nd 0.304 0.010 0.597
Nd 0.696 0.403 0.990
Nd 0.304 0.597 0.010
Nd 0.000 0.500 0.500
Nd 0.696 0.990 0.403
Nd 0.791 0.791 0.791
Sm 0.500 0.500 0.500



| no. | volume (A^3/atom) |
| --- | --- |
| 1 | 24.45 |
| 2 | 20.39 |
| 3 | 20.77 |
| 4 | 35.27 |